[1]
A plane-wave DFT calculation with GGA-PBEsol was carried out for a geometry-optimized SrCu2Ag structure.

Results
- Symmetry: No. 160
- Calculated total energy: -14.0 eV per cell
- Formation enthalpy at 0 K: -0.041 eV per atom

```
SrCu2Ag
1.0
4.275 0.000 0.000
2.137 3.702 0.000
2.137 1.234 5.276
Ag Cu Sr
1 2 1
Direct
0.299 0.299 0.102 Ag
0.692 0.692 0.924 Cu
0.013 0.013 0.960 Cu
0.495 0.495 0.514 Sr
```

=====

[2]
A plane-wave DFT calculation with GGA-PBEsol was carried out for a geometry-optimized SrCu2Ag structure.

Results
- Symmetry: No. 225
- Calculated total energy: -13.1 eV per cell
- Formation enthalpy at 0 K: 0.188 eV per atom

```
SrCu2Ag
1.0
-1.633 4.454 0.017
-4.573 0.853 -0.929
-2.894 1.452 3.467
Cu Sr Ag
2 1 1
Direct
0.250 0.250 0.250 Cu
0.750 0.750 0.750 Cu
0.500 0.500 0.500 Sr
0.000 0.000 0.000 Ag
```

=====

[3]
A plane-wave DFT calculation with GGA-PBEsol was carried out for a geometry-optimized SrCu3Ag structure.

Results
- Symmetry: No. 221
- Calculated total energy: -16.2 eV per cell
- Formation enthalpy at 0 K: 0.399 eV per atom

```
SrCu3Ag
1.0
4.756 0.000 0.000
0.000 4.756 0.000
0.000 0.000 4.756
Ag Cu Sr
1 3 1
Direct
0.000 0.000 0.000 Ag
0.000 0.500 0.000 Cu
0.500 0.000 0.000 Cu
0.000 0.000 0.500 Cu
0.500 0.500 0.500 Sr
```

=====

[4]
A plane-wave DFT calculation with GGA-PBEsol was carried out for a geometry-optimized SrCu2Ag structure.

Results
- Symmetry: No. 12
- Calculated total energy: -14.0 eV per cell
- Formation enthalpy at 0 K: -0.037 eV per atom

```
SrCu2Ag
1.0
4.367 0.000 0.000
-2.183 3.770 -0.044
0.000 -2.469 5.124
Cu Sr Ag
2 1 1
Direct
0.693 0.385 0.579 Cu
0.307 0.615 0.421 Cu
0.500 0.000 0.000 Sr
0.000 0.000 0.500 Ag
```

=====

[5]
A plane-wave DFT calculation with GGA-PBEsol was carried out for a geometry-optimized SrCuAg structure.

Results
- Symmetry: No. 187
- Calculated total energy: -9.8 eV per cell
- Formation enthalpy at 0 K: -0.107 eV per atom

```
SrCuAg
1.0
-1.913 -1.192 -3.331
-3.017 -2.168 2.509
-0.691 4.281 -1.136
Cu Sr Ag
1 1 1
Direct
0.000 0.333 0.667 Cu
0.500 0.667 0.333 Sr
0.000 0.000 0.000 Ag
```

=====

[6]
A plane-wave DFT calculation with GGA-PBEsol was carried out for a geometry-optimized Sr2Cu2Ag structure.

Results
- Symmetry: No. 127
- Calculated total energy: -31.5 eV per cell
- Formation enthalpy at 0 K: -0.022 eV per atom

```
Sr2Cu2Ag
1.0
4.170 0.000 0.000
0.000 7.563 0.000
0.000 0.000 7.563
Cu Sr Ag
4 4 2
Direct
0.000 0.114 0.386 Cu
0.000 0.386 0.886 Cu
0.000 0.886 0.614 Cu
0.000 0.614 0.114 Cu
0.500 0.818 0.318 Sr
0.500 0.318 0.182 Sr
0.500 0.682 0.818 Sr
0.500 0.182 0.682 Sr
0.000 0.000 0.000 Ag
0.000 0.500 0.500 Ag
```